--- A ---
Below is a relaxed structure of NpPaPb, with properties calculated at the PBE level.

a b c (Å): 5.415 6.013 6.013
angles (deg): 92.35 63.24 63.24
Each line ends with the local moment (μB).
Fractional coordinates of all 6 atoms:
Np  0.000  0.858  0.142  3.21
Pa  0.500  0.340  0.660  0.53
Pb  0.247  0.253  0.253  -0.03
Pa  0.500  0.660  0.340  0.53
Np  0.000  0.142  0.858  3.21
Pb  0.753  0.747  0.747  -0.03

=====

--- B ---
Below is a relaxed structure of NpPaPb, with properties calculated at the PBE level.

a b c (Å): 3.172 3.172 7.970
angles (deg): 101.48 101.48 90.00
Each line ends with the local moment (μB).
Fractional coordinates of all 3 atoms:
Pb  0.001  0.001  0.002  0.00
Np  0.672  0.672  0.344  3.70
Pa  0.327  0.327  0.654  -0.17

=====

B is favored, and the nearest alternative lies 5.1 kJ/mol of atoms above it.

=====

--- A ---
Below is a relaxed structure of NpPa2Pd, with properties calculated at the PBE level.

a b c (Å): 3.533 3.533 6.840
angles (deg): 90.00 90.00 90.00
Each line ends with the local moment (μB).
Fractional coordinates of all 4 atoms:
Pd  0.500  0.500  0.500  -0.02
Pa  0.000  0.000  0.762  0.07
Np  0.500  0.500  0.000  2.10
Pa  0.000  0.000  0.238  0.07

=====

--- B ---
Below is a relaxed structure of NpPa2Pd, with properties calculated at the PBE level.

a b c (Å): 3.147 5.206 5.206
angles (deg): 90.00 90.00 90.00
Each line ends with the local moment (μB).
Fractional coordinates of all 4 atoms:
Pa  0.000  0.000  0.500  0.06
Pd  0.500  0.500  0.500  0.03
Pa  0.000  0.500  0.000  0.06
Np  0.500  0.000  0.000  2.57

=====

B is favored, and the nearest alternative lies 13.7 kJ/mol of atoms above it.

=====

--- A ---
Below is a relaxed structure of NpPa2Pt, with properties calculated at the PBE level.

a b c (Å): 3.562 3.562 6.778
angles (deg): 90.00 90.00 90.00
Each line ends with the local moment (μB).
Fractional coordinates of all 4 atoms:
Pa  0.000  0.000  0.756  0.06
Pt  0.500  0.500  0.500  -0.03
Pa  0.000  0.000  0.244  0.06
Np  0.500  0.500  0.000  2.33

=====

--- B ---
Below is a relaxed structure of NpPa2Pt, with properties calculated at the PBE level.

a b c (Å): 3.176 5.192 5.192
angles (deg): 90.00 90.00 90.00
Each line ends with the local moment (μB).
Fractional coordinates of all 4 atoms:
Pt  0.500  0.000  0.000  0.01
Pa  0.000  0.500  0.000  0.01
Pa  0.000  0.000  0.500  0.01
Np  0.500  0.500  0.500  2.51

=====

--- C ---
Below is a relaxed structure of NpPa2Pt, with properties calculated at the PBE level.

a b c (Å): 4.964 4.964 4.964
angles (deg): 60.00 60.00 60.00
Each line ends with the local moment (μB).
Fractional coordinates of all 4 atoms:
Np  0.000  0.000  0.000  3.73
Pt  0.500  0.500  0.500  -0.04
Pa  0.250  0.250  0.250  0.70
Pa  0.750  0.750  0.750  0.70

=====

B is favored, and the nearest alternative lies 10.9 kJ/mol of atoms above it.

=====

--- A ---
Below is a relaxed structure of NpPaPtRh, with properties calculated at the PBE level.

a b c (Å): 4.709 4.709 4.709
angles (deg): 60.00 60.00 60.00
Each line ends with the local moment (μB).
Fractional coordinates of all 4 atoms:
Pa  0.250  0.250  0.250  0.53
Np  0.500  0.500  0.500  3.11
Pt  0.000  0.000  0.000  -0.09
Rh  0.750  0.750  0.750  -0.23

=====

--- B ---
Below is a relaxed structure of NpPaPtRh, with properties calculated at the PBE level.

a b c (Å): 4.906 4.906 4.906
angles (deg): 60.00 60.00 60.00
Each line ends with the local moment (μB).
Fractional coordinates of all 4 atoms:
Rh  0.250  0.250  0.250  -0.18
Pt  0.750  0.750  0.750  -0.06
Pa  0.500  0.500  0.500  0.79
Np  0.000  0.000  0.000  3.81

=====

A is favored, and the nearest alternative lies 20.3 kJ/mol of atoms above it.

=====

--- A ---
Below is a relaxed structure of Pu2NpPa, with properties calculated at the PBE level.

a b c (Å): 3.302 3.302 8.068
angles (deg): 90.00 90.00 90.00
Each line ends with the local moment (μB).
Fractional coordinates of all 4 atoms:
Np  0.500  0.500  0.000  -2.94
Pu  0.000  0.000  0.239  4.41
Pu  0.000  0.000  0.761  4.41
Pa  0.500  0.500  0.500  -0.18

=====

--- B ---
Below is a relaxed structure of Pu2NpPa, with properties calculated at the PBE level.

a b c (Å): 3.784 3.784 7.597
angles (deg): 75.58 75.58 60.00
Fractional coordinates of all 4 atoms:
Pa  0.000  0.000  0.000
Pu  0.885  0.885  0.345
Np  0.500  0.500  0.500
Pu  0.115  0.115  0.655

=====

A is favored, and the nearest alternative lies 32.1 kJ/mol of atoms above it.

=====

--- A ---
Below is a relaxed structure of NpPaRe2, with properties calculated at the PBE level.

a b c (Å): 4.834 4.834 4.834
angles (deg): 60.00 60.00 60.00
Each line ends with the local moment (μB).
Fractional coordinates of all 4 atoms:
Pa  0.000  0.000  0.000  -0.17
Re  0.750  0.750  0.750  0.27
Np  0.500  0.500  0.500  -3.16
Re  0.250  0.250  0.250  0.27

=====

--- B ---
Below is a relaxed structure of NpPaRe2, with properties calculated at the PBE level.

a b c (Å): 3.404 4.841 4.841
angles (deg): 90.00 90.00 90.00
Each line ends with the local moment (μB).
Fractional coordinates of all 4 atoms:
Re  0.000  0.500  0.000  -0.26
Pa  0.500  0.500  0.500  0.24
Np  0.500  0.000  0.000  3.08
Re  0.000  0.000  0.500  -0.26

=====

A is favored, and the nearest alternative lies 1.3 kJ/mol of atoms above it.

=====

--- A ---
Below is a relaxed structure of NpPa2Rh, with properties calculated at the PBE level.

a b c (Å): 3.174 5.110 5.110
angles (deg): 90.00 90.00 90.00
Each line ends with the local moment (μB).
Fractional coordinates of all 4 atoms:
Rh  0.500  0.000  0.000  0.00
Np  0.500  0.500  0.500  2.27
Pa  0.000  0.000  0.500  0.00
Pa  0.000  0.500  0.000  0.00

=====

--- B ---
Below is a relaxed structure of NpPa2Rh, with properties calculated at the PBE level.

a b c (Å): 4.692 4.692 5.087
angles (deg): 62.53 62.53 60.00
Each line ends with the local moment (μB).
Fractional coordinates of all 4 atoms:
Pa  0.740  0.740  0.781  0.22
Rh  0.500  0.500  0.500  -0.07
Pa  0.260  0.260  0.219  0.22
Np  0.000  0.000  0.000  2.65

=====

A is favored, and the nearest alternative lies 8.5 kJ/mol of atoms above it.

=====

--- A ---
Below is a relaxed structure of NpPa2Ru, with properties calculated at the PBE level.

a b c (Å): 3.031 3.031 10.502
angles (deg): 81.70 81.70 60.00
Each line ends with the local moment (μB).
Fractional coordinates of all 4 atoms:
Pa  0.091  0.091  0.726  0.01
Ru  0.500  0.500  0.500  -0.02
Pa  0.909  0.909  0.274  0.01
Np  0.000  0.000  0.000  2.56

=====

--- B ---
Below is a relaxed structure of NpPa2Ru, with properties calculated at the PBE level.

a b c (Å): 4.895 4.895 4.895
angles (deg): 60.00 60.00 60.00
Each line ends with the local moment (μB).
Fractional coordinates of all 4 atoms:
Pa  0.250  0.250  0.250  0.65
Ru  0.000  0.000  0.000  -0.10
Pa  0.750  0.750  0.750  0.65
Np  0.500  0.500  0.500  3.43

=====

--- C ---
Below is a relaxed structure of NpPa2Ru, with properties calculated at the PBE level.

a b c (Å): 3.174 5.077 5.077
angles (deg): 90.00 90.00 90.00
Each line ends with the local moment (μB).
Fractional coordinates of all 4 atoms:
Ru  0.500  0.000  0.000  -0.03
Pa  0.000  0.000  0.500  0.03
Np  0.500  0.500  0.500  2.25
Pa  0.000  0.500  0.000  0.03

=====

C is favored, and the nearest alternative lies 7.9 kJ/mol of atoms above it.